The following is a GGA-PBE calculation of crystalline AcThCu2Ge2 at its relaxed geometry, from Alexandria via LeMat-Bulk.

Computed properties:
Formation energy, eV/atom: -0.610
Volume, Å³/cell: 135.3
DFT total energy, eV/f.u.: -32.6

abc: 4.2965 4.2965 8.4633
angles: 90.00 90.00 120.00
Space group P-3m1 (No. 164)
One atom of each set of equivalent atoms:
Ac 0.0000 0.0000 0.0000 x1
Th 0.0000 0.0000 0.5000 x1
Cu 0.3333 0.6667 0.7311 x2
Ge 0.3333 0.6667 0.2705 x2